Be2ZnPdN: optimized geometry, PBE.

Lattice parameters (Å, degrees): 3.4773 3.4773 4.5702 90.00 90.00 90.00
With the nearest neighbours (Å) after each atom.
Atoms (fractional coordinates):
Be  0.0000  0.5000  0.0000  2 N 1.74
Be  0.5000  0.0000  0.0000  2 N 1.74
Zn  0.0000  0.0000  0.5000  2 N 2.29, 4 Pd 2.46
Pd  0.5000  0.5000  0.5000  4 Zn 2.46
N  0.0000  0.0000  0.0000  4 Be 1.74

space-group type	No. 123
M_tot	0.000	μB/cell
formation energy (no corrections)	-0.1475	eV per atom
E	-4.60	eV per atom